Entry 1:
A plane-wave DFT calculation with PBE was carried out for LaNd2Dy4Mg after structural relaxation.

Summary:
The calculated total energy comes out at -0.314 Ry per atom. For the density of states at the Fermi level, the calculation gives 11.67 states/eV/cell.

Cell lengths 5.0142, 5.0089, 10.2961 Å; angles 90.00, 90.05, 90.00 degrees
Positions (direct):
La1 0.0000 0.0000 0.0000
Nd1 0.0000 0.0000 0.5000
Nd2 0.5000 0.5000 0.5000
Dy1 0.9998 0.5000 0.2493
Dy2 0.0002 0.5000 0.7507
Dy3 0.4997 0.0000 0.2496
Dy4 0.5003 0.0000 0.7504
Mg1 0.5000 0.5000 0.0000

Entry 2:
A plane-wave DFT calculation with PBE was carried out for Tl3RhI after structural relaxation.

Summary:
The value obtained for the energy above the lowest structure with this stoichiometry is 181 meV per atom. The calculation puts the formation energy from raw total energies at -84 meV per atom. For the density of states at the Fermi level, the calculation gives 5.01 states/eV/cell.

Cell lengths 9.4920, 6.2530, 13.1499 Å; angles 90.00, 130.74, 90.00 degrees
Positions (direct):
Tl1 0.1218 0.2212 0.2821
Tl2 0.1218 0.2788 0.7821
Tl3 0.1707 0.7098 0.6493
Tl4 0.1707 0.7902 0.1493
Tl5 0.3658 0.2481 0.6467
Tl6 0.3658 0.2519 0.1467
Tl7 0.6342 0.7481 0.8533
Tl8 0.6342 0.7519 0.3533
Tl9 0.8293 0.2098 0.8507
Tl10 0.8293 0.2902 0.3507
Tl11 0.8782 0.7212 0.2179
Tl12 0.8782 0.7788 0.7179
Rh1 0.0952 0.5273 0.9480
Rh2 0.0952 0.9727 0.4480
Rh3 0.9048 0.0273 0.5520
Rh4 0.9048 0.4727 0.0520
I1 0.3732 0.7292 0.4964
I2 0.3732 0.7708 0.9964
I3 0.6268 0.2292 0.0036
I4 0.6268 0.2708 0.5036

Entry 3:
A plane-wave DFT calculation with PBE was carried out for MgUZnPt after structural relaxation.

Summary:
The calculated total energy comes out at -0.392 Ry per atom. For the density of states at the Fermi level, the calculation gives 9.15 states/eV/cell.

Cell lengths 4.7970, 4.7970, 4.7970 Å; angles 60.00, 60.00, 60.00 degrees
Positions (direct):
Mg1 0.0000 0.0000 0.0000
U1 0.5000 0.5000 0.5000
Zn1 0.2500 0.2500 0.2500
Pt1 0.7500 0.7500 0.7500

Entry 4:
A plane-wave DFT calculation with PBE was carried out for EuZn2Pt after structural relaxation.

Summary:
The calculated total energy comes out at -0.387 Ry per atom. For the density of states at the Fermi level, the calculation gives 10.52 states/eV/cell.

Cell lengths 5.6835, 5.6835, 5.6835 Å; angles 45.50, 45.50, 45.50 degrees
Positions (direct):
Eu1 0.0000 0.0000 0.0000
Zn1 0.2036 0.2036 0.2036
Zn2 0.7964 0.7964 0.7964
Pt1 0.5000 0.5000 0.5000

Entry 5:
A plane-wave DFT calculation with PBE was carried out for Tm3Ag4Hg4 after structural relaxation.

Summary:
The calculated total energy comes out at -0.192 Ry per atom. For the density of states at the Fermi level, the calculation gives 6.52 states/eV/cell.

Cell lengths 15.3825, 15.3825, 15.3825 Å; angles 167.60, 161.84, 22.06 degrees
Positions (direct):
Tm1 0.0000 0.0000 0.0000
Tm2 0.3607 0.8607 0.5000
Tm3 0.6393 0.1393 0.5000
Ag1 0.0918 0.5918 0.5000
Ag2 0.2664 0.2664 0.0000
Ag3 0.7336 0.7336 0.0000
Ag4 0.9082 0.4082 0.5000
Hg1 0.1842 0.6842 0.5000
Hg2 0.4524 0.4524 0.0000
Hg3 0.5476 0.5476 0.0000
Hg4 0.8158 0.3158 0.5000

Entry 6:
A plane-wave DFT calculation with PBE was carried out for TaMn2Re after structural relaxation.

Summary:
The value obtained for the energy above the lowest structure with this stoichiometry is 279 meV per atom. For the density of states at the Fermi level, the calculation gives 2.90 states/eV/cell.

Cell lengths 8.9030, 8.9030, 8.9030 Å; angles 17.88, 17.88, 17.88 degrees
Positions (direct):
Ta1 0.0000 0.0000 0.0000
Mn1 0.4967 0.4967 0.4967
Mn2 0.7549 0.7549 0.7549
Re1 0.2386 0.2386 0.2386